Entry from Alexandria: crystalline Rb2NpTeO6 at its relaxed geometry (PBE).

Unit cell a=8.586 b=8.586 c=8.586 alpha=90.00 beta=90.00 gamma=90.00
Space group Fm-3m (No. 225)
Unique sites:
1 Rb 0.250 0.250 0.250
2 Np 0.000 0.000 0.000
3 Te 0.000 0.000 0.500
4 O 0.000 0.000 0.245

Computed properties:
uncorrected formation energy: -19.76 eV/f.u.
crystal system: cubic
total magnetization: 0.100 μB/atom
density: 6.63 g cm⁻³

---

Entry from Alexandria: crystalline RbRe3Pd at its relaxed geometry (PBE).

Unit cell a=4.634 b=4.634 c=4.634 alpha=90.00 beta=90.00 gamma=90.00
Space group Pm-3m (No. 221)
Unique sites:
1 Rb 0.000 0.000 0.000
2 Re 0.000 0.000 0.500
3 Pd 0.500 0.500 0.500

Computed properties:
crystal system: cubic
ΔH_f (0 K): 4.038 eV/atom
total magnetization: 0.000 μB/atom
Fermi-level density of states: 5.55 states/eV per cell
density: 12.52 g cm⁻³
distance to the lowest polymorph of the same formula: 1303 meV/atom

---

Entry from Alexandria: crystalline ScNb5Ge4 at its relaxed geometry (PBE).

Unit cell a=8.344 b=8.847 c=5.250 alpha=90.00 beta=90.00 gamma=90.00
Space group Pmmn (No. 59, origin choice 2)
Unique sites:
1 Sc 0.250 0.250 0.017
2 Nb 0.028 0.021 0.257
3 Nb 0.250 0.750 0.497
4 Ge 0.076 0.250 0.574
5 Ge 0.250 0.603 0.965

Computed properties:
crystal system: orthorhombic
ΔH_f (0 K): -0.028 eV/atom
total magnetization: 0.000 μB/atom
Fermi-level density of states: 16.94 states/eV per cell
density: 6.86 g cm⁻³

---

Entry from Alexandria: crystalline TlCuIr2 at its relaxed geometry (PBE).

Unit cell a=2.835 b=4.989 c=9.406 alpha=90.00 beta=90.00 gamma=90.00
Space group Cmm2 (No. 35)
Unique sites:
1 Tl 0.000 0.000 0.000
2 Cu 0.000 0.500 0.739
3 Ir 0.000 0.000 0.509
4 Ir 0.000 0.500 0.272

Computed properties:
crystal system: orthorhombic
ΔH_f (0 K): 0.594 eV/atom
total magnetization: 0.000 μB/atom
Fermi-level density of states: 7.03 states/eV per cell
density: 16.29 g cm⁻³
distance to the lowest polymorph of the same formula: 233 meV/atom

---

Entry from Alexandria: crystalline Er2SnOs at its relaxed geometry (PBE).

Unit cell a=3.4283 b=3.4283 c=30.8395 alpha=90.00 beta=90.00 gamma=120.00
Space group R-3m (No. 166, hexagonal axes)
Unique sites:
1 Er 0.0000 0.0000 0.1024
2 Sn 0.0000 0.0000 0.0000
3 Os 0.0000 0.0000 0.5000

Computed properties:
crystal system: trigonal
ΔH_f (0 K): 0.121 eV/atom
total magnetization: 0.000 μB/atom
Fermi-level density of states: 14.38 states/eV per cell
density: 10.21 g cm⁻³
distance to the lowest polymorph of the same formula: 610 meV/atom

---

Entry from Alexandria: crystalline SrCu4Au3O12 at its relaxed geometry (PBE).

Unit cell a=7.599 b=7.599 c=7.599 alpha=90.00 beta=90.00 gamma=90.00
Space group Im-3 (No. 204)
Unique sites:
1 Sr 0.000 0.000 0.000
2 Cu 0.250 0.250 0.250
3 Au 0.000 0.000 0.500
4 O 0.000 0.180 0.304

Computed properties:
uncorrected formation energy: -10.63 eV/f.u.
crystal system: cubic
total magnetization: 0.000 μB/atom
Fermi-level density of states: 26.01 states/eV per cell
density: 8.51 g cm⁻³